VASP calculation (GGA-PBE) on a geometry-optimized Pm3Sm4YS8 structure.

Cell: 8.0160 8.0160 8.0160 Å, 60.02 60.02 60.02°
Atoms (fractional coordinates):
Pm: 0.0000 0.5000 0.5000
Pm: 0.5000 0.0000 0.5000
Pm: 0.5000 0.5000 0.0000
Sm: 0.0000 0.0000 0.5000
Sm: 0.0000 0.5000 0.0000
Sm: 0.5000 0.0000 0.0000
Sm: 0.5000 0.5000 0.5000
Y: 0.0000 0.0000 0.0000
S: 0.2452 0.7532 0.7532
S: 0.2468 0.2468 0.7548
S: 0.2468 0.7548 0.2468
S: 0.2492 0.2492 0.2492
S: 0.7508 0.7508 0.7508
S: 0.7532 0.2452 0.7532
S: 0.7532 0.7532 0.2452
S: 0.7548 0.2468 0.2468

Computed properties:
Total magnetization   0.0 μB/cell
Formation energy without anion corrections   -32.30 eV/f.u.
Total energy   -0.4819 Ry/atom
SG   No. 166



VASP calculation (GGA-PBE) on a geometry-optimized PmSm3Y2S6 structure.

Cell: 6.9024 6.9024 6.9011 Å, 99.57 99.57 120.17°
Atoms (fractional coordinates):
Pm: 0.0000 0.0000 0.0000
Sm: 0.1636 0.8364 0.5000
Sm: 0.5000 0.5000 0.5000
Sm: 0.8364 0.1636 0.5000
Y: 0.3337 0.6663 0.0000
Y: 0.6663 0.3337 0.0000
S: 0.0818 0.4218 0.2457
S: 0.2588 0.2588 0.7568
S: 0.4218 0.0818 0.2457
S: 0.5782 0.9182 0.7543
S: 0.7412 0.7412 0.2432
S: 0.9182 0.5782 0.7543

Computed properties:
Total magnetization   0.0 μB/cell
Formation energy without anion corrections   -24.24 eV/f.u.
Total energy   -0.4951 Ry/atom
SG   No. 12



VASP calculation (GGA-PBE) on a geometry-optimized PmSm4YS8 structure.

Cell: 8.2216 8.2216 8.2216 Å, 59.97 59.97 59.97°
Atoms (fractional coordinates):
Pm: 0.0000 0.0000 0.0000
Sm: 0.0001 0.0001 0.5033
Sm: 0.0001 0.5033 0.0001
Sm: 0.3759 0.3759 0.3759
Sm: 0.5033 0.0001 0.0001
Y: 0.6261 0.6261 0.6261
S: 0.2353 0.7552 0.7552
S: 0.2429 0.2429 0.2429
S: 0.2438 0.2438 0.7743
S: 0.2438 0.7743 0.2438
S: 0.7552 0.2353 0.7552
S: 0.7552 0.7552 0.2353
S: 0.7565 0.7565 0.7565
S: 0.7743 0.2438 0.2438

Computed properties:
Total magnetization   0.0 μB/cell
Formation energy without anion corrections   -26.90 eV/f.u.
Total energy   -0.4725 Ry/atom
SG   No. 160



VASP calculation (GGA-PBE) on a geometry-optimized Pm2SmY3S6 structure.

Cell: 6.8671 6.8671 6.9078 Å, 99.51 99.51 120.17°
Atoms (fractional coordinates):
Pm: 0.1667 0.8333 0.0000
Pm: 0.8333 0.1667 0.0000
Sm: 0.5000 0.5000 0.0000
Y: 0.0000 0.0000 0.5000
Y: 0.3327 0.6673 0.5000
Y: 0.6673 0.3327 0.5000
S: 0.0812 0.4132 0.7399
S: 0.2550 0.2550 0.2606
S: 0.4132 0.0812 0.7399
S: 0.5868 0.9188 0.2601
S: 0.7450 0.7450 0.7394
S: 0.9188 0.5868 0.2601

Computed properties:
Total magnetization   0.0 μB/cell
Formation energy without anion corrections   -24.24 eV/f.u.
Total energy   -0.5060 Ry/atom
SG   No. 12



VASP calculation (GGA-PBE) on a geometry-optimized Pm3SmY2S6 structure.

Cell: 6.9091 6.9091 6.9266 Å, 99.54 99.54 120.17°
Atoms (fractional coordinates):
Pm: 0.0000 0.0000 0.0000
Pm: 0.3357 0.6643 0.0000
Pm: 0.6643 0.3357 0.0000
Sm: 0.5000 0.5000 0.5000
Y: 0.1664 0.8336 0.5000
Y: 0.8336 0.1664 0.5000
S: 0.0806 0.4192 0.2575
S: 0.2415 0.2415 0.7405
S: 0.4192 0.0806 0.2575
S: 0.5808 0.9194 0.7425
S: 0.7585 0.7585 0.2595
S: 0.9194 0.5808 0.7425

Computed properties:
Total magnetization   0.0 μB/cell
Formation energy without anion corrections   -24.30 eV/f.u.
Total energy   -0.4959 Ry/atom
SG   No. 12



VASP calculation (GGA-PBE) on a geometry-optimized Pm2Sm3YS6 structure.

Cell: 6.9401 6.9401 6.9268 Å, 99.58 99.58 120.17°
Atoms (fractional coordinates):
Pm: 0.1669 0.8331 0.0000
Pm: 0.8331 0.1669 0.0000
Sm: 0.0000 0.0000 0.5000
Sm: 0.3304 0.6696 0.5000
Sm: 0.6696 0.3304 0.5000
Y: 0.5000 0.5000 0.0000
S: 0.0906 0.4175 0.7523
S: 0.2566 0.2566 0.2502
S: 0.4175 0.0906 0.7523
S: 0.5825 0.9094 0.2477
S: 0.7434 0.7434 0.7498
S: 0.9094 0.5825 0.2477

Computed properties:
Total magnetization   0.0 μB/cell
Formation energy without anion corrections   -24.31 eV/f.u.
Total energy   -0.4851 Ry/atom
SG   No. 12



VASP calculation (GGA-PBE) on a geometry-optimized Pm4Sm3YS8 structure.

Cell: 8.0284 8.0284 8.0284 Å, 59.92 59.92 59.92°
Atoms (fractional coordinates):
Pm: 0.0000 0.0000 0.0000
Pm: 0.0000 0.5000 0.5000
Pm: 0.5000 0.0000 0.5000
Pm: 0.5000 0.5000 0.0000
Sm: 0.0000 0.0000 0.5000
Sm: 0.0000 0.5000 0.0000
Sm: 0.5000 0.0000 0.0000
Y: 0.5000 0.5000 0.5000
S: 0.2492 0.2492 0.2492
S: 0.2525 0.7459 0.7459
S: 0.2541 0.2541 0.7475
S: 0.2541 0.7475 0.2541
S: 0.7459 0.2525 0.7459
S: 0.7459 0.7459 0.2525
S: 0.7475 0.2541 0.2541
S: 0.7508 0.7508 0.7508

Computed properties:
Total magnetization   0.0 μB/cell
Formation energy without anion corrections   -32.34 eV/f.u.
Total energy   -0.4822 Ry/atom
SG   No. 166



VASP calculation (GGA-PBE) on a geometry-optimized PmSm4Y3S8 structure.

Cell: 7.9684 7.9684 7.9684 Å, 59.85 59.85 59.85°
Atoms (fractional coordinates):
Pm: 0.0000 0.0000 0.0000
Sm: 0.0000 0.0000 0.5000
Sm: 0.0000 0.5000 0.0000
Sm: 0.5000 0.0000 0.0000
Sm: 0.5000 0.5000 0.5000
Y: 0.0000 0.5000 0.5000
Y: 0.5000 0.0000 0.5000
Y: 0.5000 0.5000 0.0000
S: 0.2508 0.2508 0.7429
S: 0.2508 0.7429 0.2508
S: 0.2531 0.2531 0.2531
S: 0.2571 0.7492 0.7492
S: 0.7429 0.2508 0.2508
S: 0.7469 0.7469 0.7469
S: 0.7492 0.2571 0.7492
S: 0.7492 0.7492 0.2571

Computed properties:
Total magnetization   0.0 μB/cell
Formation energy without anion corrections   -32.16 eV/f.u.
Total energy   -0.4970 Ry/atom
SG   No. 166



VASP calculation (GGA-PBE) on a geometry-optimized Pm3SnS6 structure.

Cell: 8.7104 8.7104 6.8353 Å, 90.00 90.00 102.25°
Atoms (fractional coordinates):
Pm: 0.0976 0.9024 0.5000
Pm: 0.2108 0.4149 0.3998
Pm: 0.4149 0.2108 0.8998
Pm: 0.5851 0.7892 0.3998
Pm: 0.7892 0.5851 0.8998
Pm: 0.9024 0.0976 0.0000
Sn: 0.3290 0.6710 0.8901
Sn: 0.6710 0.3290 0.3901
S: 0.0756 0.5972 0.6971
S: 0.1348 0.1926 0.7020
S: 0.1926 0.1348 0.2020
S: 0.2694 0.7306 0.2492
S: 0.4028 0.9244 0.6971
S: 0.4910 0.5090 0.6427
S: 0.5090 0.4910 0.1427
S: 0.5972 0.0756 0.1971
S: 0.7306 0.2694 0.7492
S: 0.8074 0.8652 0.7020
S: 0.8652 0.8074 0.2020
S: 0.9244 0.4028 0.1971

Computed properties:
Total magnetization   0.0 μB/cell
Formation energy without anion corrections   -16.13 eV/f.u.
Total energy   -0.4348 Ry/atom
SG   No. 36



VASP calculation (GGA-PBE) on a geometry-optimized Pm6SnS4 structure.

Cell: 6.9824 6.9824 20.5486 Å, 90.00 90.00 145.44°
Atoms (fractional coordinates):
Pm: 0.0000 0.0000 0.0000
Pm: 0.0000 0.0000 0.5000
Pm: 0.1644 0.8356 0.7500
Pm: 0.2701 0.7299 0.0835
Pm: 0.2701 0.7299 0.4165
Pm: 0.4612 0.5388 0.6583
Pm: 0.4612 0.5388 0.8417
Pm: 0.5388 0.4612 0.1583
Pm: 0.5388 0.4612 0.3417
Pm: 0.7299 0.2701 0.5835
Pm: 0.7299 0.2701 0.9165
Pm: 0.8356 0.1644 0.2500
Sn: 0.1589 0.8411 0.2500
Sn: 0.8411 0.1589 0.7500
S: 0.0964 0.9036 0.6227
S: 0.0964 0.9036 0.8773
S: 0.3631 0.6369 0.5394
S: 0.3631 0.6369 0.9606
S: 0.6369 0.3631 0.0394
S: 0.6369 0.3631 0.4606
S: 0.9036 0.0964 0.1227
S: 0.9036 0.0964 0.3773

Computed properties:
Total magnetization   1.0 μB/cell
Formation energy without anion corrections   -18.07 eV/f.u.
Total energy   -0.4482 Ry/atom
SG   No. 63



VASP calculation (GGA-PBE) on a geometry-optimized PmSnS2 structure.

Cell: 4.0283 4.0283 25.8002 Å, 90.00 90.00 120.00°
Atoms (fractional coordinates):
Pm: 0.0000 0.0000 0.0000
Pm: 0.3333 0.6667 0.6667
Pm: 0.6667 0.3333 0.3333
Sn: 0.0000 0.0000 0.5000
Sn: 0.3333 0.6667 0.1667
Sn: 0.6667 0.3333 0.8333
S: 0.0000 0.0000 0.3934
S: 0.0000 0.0000 0.6066
S: 0.3333 0.6667 0.0601
S: 0.3333 0.6667 0.2733
S: 0.6667 0.3333 0.7267
S: 0.6667 0.3333 0.9399

Computed properties:
Total magnetization   0.0 μB/cell
Formation energy without anion corrections   -4.76 eV/f.u.
Total energy   -0.3999 Ry/atom
SG   No. 166



VASP calculation (GGA-PBE) on a geometry-optimized PmSnS3 structure.

Cell: 7.9590 3.9329 14.4838 Å, 90.00 90.00 90.00°
Atoms (fractional coordinates):
Pm: 0.1478 0.2500 0.1944
Pm: 0.3522 0.7500 0.6944
Pm: 0.6478 0.2500 0.3056
Pm: 0.8522 0.7500 0.8056
Sn: 0.1881 0.7500 0.4502
Sn: 0.3119 0.2500 0.9502
Sn: 0.6881 0.7500 0.0498
Sn: 0.8119 0.2500 0.5498
S: 0.0019 0.7500 0.6218
S: 0.1446 0.2500 0.7924
S: 0.1540 0.7500 0.0492
S: 0.3460 0.2500 0.5492
S: 0.3554 0.7500 0.2924
S: 0.4981 0.2500 0.1218
S: 0.5019 0.7500 0.8782
S: 0.6446 0.2500 0.7076
S: 0.6540 0.7500 0.4508
S: 0.8460 0.2500 0.9508
S: 0.8554 0.7500 0.2076
S: 0.9981 0.2500 0.3782

Computed properties:
Total magnetization   0.0 μB/cell
Formation energy without anion corrections   -5.71 eV/f.u.
Distance to the lowest polymorph of the same formula   0.0 meV/atom
Total energy   -0.3946 Ry/atom
SG   No. 62